Entry 1:
## HgW2Cl (SCAN)

Data for HgW2Cl at its PBEsol-relaxed geometry.

```
HgW2Cl
1.0
2.7556 0.0000 0.0000
0.0000 5.3215 0.0933
0.0000 -2.5640 4.6640
W Cl Hg
2 1 1
Direct
0.0000 0.0000 0.5000 W
0.0000 0.5000 0.0000 W
0.5000 0.0000 0.0000 Cl
0.5000 0.5000 0.5000 Hg
```

Output
formation energy (no corrections): 1.512 eV/atom
excess energy over the best structure of this formula in the dataset: 973 meV/atom
total magnetization: 0.0 μB per cell
symmetry: No. 65
density: 14.518 g cm⁻³

Entry 2:
## HgWCl2 (SCAN)

Data for HgWCl2 at its PBEsol-relaxed geometry.

```
HgWCl2
1.0
3.0641 0.0000 0.0000
-1.5321 2.8360 0.0000
0.0000 0.0000 9.2949
Cl Hg W
2 1 1
Direct
0.5000 0.0000 0.2871 Cl
0.0000 0.0000 0.9519 Cl
0.0000 0.0000 0.5049 Hg
0.5000 0.0000 0.7561 W
```

Output
formation energy (no corrections): 0.207 eV/atom
excess energy over the best structure of this formula in the dataset: 0 meV/atom
total magnetization: 0.7 μB per cell
symmetry: No. 35
density: 9.361 g cm⁻³